1.
The following is a DFT calculation (PBE) of Pr3AlP2Pt9 after structural relaxation.

Geometry as POSCAR:
```
Pr3AlP2Pt9
1.0
6.3667 0.0000 0.0000
-3.1833 5.5137 0.0000
0.0000 0.0000 8.7829
Pr Al P Pt
3 1 2 9
direct
0.3333 0.6667 0.6620
0.0000 0.0000 0.0000
0.6667 0.3333 0.3380
0.0000 0.0000 0.5000
0.3333 0.6667 0.1783
0.6667 0.3333 0.8217
0.8529 0.1471 0.7149
0.8529 0.7058 0.7149
0.2942 0.1471 0.7149
0.7058 0.8529 0.2851
0.1471 0.2942 0.2851
0.1471 0.8529 0.2851
0.5000 0.0000 0.0000
0.0000 0.5000 0.0000
0.5000 0.5000 0.0000
```

Summary:
Calculated volume in A^3/atom: 20.6
E_tot in eV/cell: -94.93
ΔH_f (0 K) in eV/atom: -0.78
Fermi-level density of states in states/eV per atom: 0.4239
Total magnetization in μB/atom: 0.00

---

2.
The following is a DFT calculation (PBE) of Pr3AlP2Rh9 after structural relaxation.

Geometry as POSCAR:
```
Pr3AlP2Rh9
1.0
6.4374 0.0000 0.0000
-3.2187 5.5750 0.0000
0.0000 0.0000 7.7269
Pr Al P Rh
3 1 2 9
direct
0.3333 0.6667 0.6595
0.0000 0.0000 0.0000
0.6667 0.3333 0.3405
0.0000 0.0000 0.5000
0.3333 0.6667 0.1609
0.6667 0.3333 0.8391
0.8283 0.1717 0.6739
0.8283 0.6567 0.6739
0.3433 0.1717 0.6739
0.6567 0.8283 0.3261
0.1717 0.3433 0.3261
0.1717 0.8283 0.3261
0.5000 0.0000 0.0000
0.0000 0.5000 0.0000
0.5000 0.5000 0.0000
```

Summary:
Calculated volume in A^3/atom: 18.5
E_tot in eV/cell: -104.50
ΔH_f (0 K) in eV/atom: -0.63
Fermi-level density of states in states/eV per atom: 0.4007
Total magnetization in μB/atom: 0.00

---

3.
The following is a DFT calculation (PBE) of Al3PPt after structural relaxation.

Geometry as POSCAR:
```
Al3PPt
1.0
4.5544 0.0000 0.0000
0.0000 4.5544 0.0000
0.0000 0.0000 4.5544
P Al Pt
1 3 1
direct
0.0000 0.0000 0.0000
0.0000 0.5000 0.0000
0.0000 0.0000 0.5000
0.5000 0.0000 0.0000
0.5000 0.5000 0.5000
```

Summary:
Calculated volume in A^3/atom: 18.9
Offset from the most stable computed form in meV per atom: 362
E_tot in eV/cell: -20.81
ΔH_f (0 K) in eV/atom: 0.37
Fermi-level density of states in states/eV per atom: 0.3918
Total magnetization in μB/atom: 0.00

---

4.
The following is a DFT calculation (PBE) of Al2PPt2 after structural relaxation.

Geometry as POSCAR:
```
Al2PPt2
1.0
7.4465 0.0000 0.0000
0.0000 7.4465 0.0000
0.0000 0.0000 2.7977
P Al Pt
2 4 4
direct
0.0000 0.0000 0.0000
0.5000 0.5000 0.0000
0.1523 0.6523 0.5000
0.6523 0.8477 0.5000
0.8477 0.3477 0.5000
0.3477 0.1523 0.5000
0.3551 0.8551 0.0000
0.8551 0.6449 0.0000
0.6449 0.1449 0.0000
0.1449 0.3551 0.0000
```

Summary:
Calculated volume in A^3/atom: 15.5
Offset from the most stable computed form in meV per atom: 0
E_tot in eV/cell: -56.06
ΔH_f (0 K) in eV/atom: -0.61
Fermi-level density of states in states/eV per atom: 0.3984
Total magnetization in μB/atom: 0.00

---

5.
The following is a DFT calculation (PBE) of AlP4Pt after structural relaxation.

Geometry as POSCAR:
```
AlP4Pt
1.0
4.8118 0.2637 1.5351
1.0644 0.3813 4.9296
2.0920 -3.9022 2.4446
Al P Pt
1 4 1
direct
0.0000 0.0000 0.0000
0.8730 0.3757 0.3757
0.3757 0.3757 0.8730
0.3757 0.8730 0.3757
0.3757 0.3757 0.3757
0.7500 0.7500 0.7500
```

Summary:
Calculated volume in A^3/atom: 15.2
E_tot in eV/cell: -27.81
ΔH_f (0 K) in eV/atom: 0.60
Fermi-level density of states in states/eV per atom: 0.5409
Total magnetization in μB/atom: 0.00

---

6.
The following is a DFT calculation (PBE) of Al2PPt2 after structural relaxation.

Geometry as POSCAR:
```
Al2PPt2
1.0
-1.8881 1.8881 5.9041
1.8881 -1.8881 5.9041
1.8881 1.8881 -5.9041
Al P Pt
2 1 2
direct
0.2500 0.7500 0.5000
0.7500 0.2500 0.5000
0.0000 0.0000 0.0000
0.6144 0.6144 0.0000
0.3856 0.3856 0.0000
```

Summary:
Calculated volume in A^3/atom: 16.8
Offset from the most stable computed form in meV per atom: 196
E_tot in eV/cell: -27.05
ΔH_f (0 K) in eV/atom: -0.41
Fermi-level density of states in states/eV per atom: 0.4535
Total magnetization in μB/atom: 0.00

---

7.
The following is a DFT calculation (PBE) of Al3PPt after structural relaxation.

Geometry as POSCAR:
```
Al3PPt
1.0
-3.6747 0.7010 -2.8978
0.4101 -4.4367 -1.5934
-2.9530 -1.4885 3.3846
P Al Pt
1 3 1
direct
0.5000 0.5000 0.5000
0.0000 0.5000 0.0000
0.0000 0.0000 0.5000
0.5000 0.0000 0.0000
0.0000 0.0000 0.0000
```

Summary:
Calculated volume in A^3/atom: 21.2
Offset from the most stable computed form in meV per atom: 0
E_tot in eV/cell: -22.62
ΔH_f (0 K) in eV/atom: 0.01
Fermi-level density of states in states/eV per atom: 0.5732
Total magnetization in μB/atom: 0.00

---

8.
The following is a DFT calculation (PBE) of Pu2AlPPt6 after structural relaxation.

Geometry as POSCAR:
```
Pu2AlPPt6
1.0
5.5556 0.0000 0.0000
0.0000 8.2481 0.0000
0.0000 0.0000 8.5108
Pu Al P Pt
4 2 2 12
direct
0.5000 0.7263 0.2611
0.0000 0.2737 0.7611
0.5000 0.7263 0.7389
0.0000 0.2737 0.2389
0.0000 0.7230 0.5000
0.5000 0.2770 0.0000
0.5000 0.2457 0.5000
0.0000 0.7543 0.0000
0.5000 0.1198 0.2549
0.5000 0.1198 0.7451
0.0000 0.8802 0.2451
0.0000 0.8802 0.7549
0.2495 0.9837 0.5000
0.7505 0.9837 0.5000
0.2480 0.4733 0.5000
0.7520 0.4733 0.5000
0.7480 0.5267 0.0000
0.2520 0.5267 0.0000
0.2505 0.0163 0.0000
0.7495 0.0163 0.0000
```

Summary:
Calculated volume in A^3/atom: 19.5
E_tot in eV/cell: -162.94
ΔH_f (0 K) in eV/atom: -0.74
Fermi-level density of states in states/eV per atom: 2.9675
Total magnetization in μB/atom: 1.06

---

9.
The following is a DFT calculation (PBE) of Sm2AlPPt6 after structural relaxation.

Geometry as POSCAR:
```
Sm2AlPPt6
1.0
-1.6508 5.2816 -0.6940
-3.7129 -2.0793 -6.9920
-7.2110 -1.6848 4.3303
Sm Al P Pt
4 2 2 12
direct
0.5000 0.7268 0.2625
0.0000 0.2732 0.7625
0.5000 0.7268 0.7375
0.0000 0.2732 0.2375
0.0000 0.7214 0.5000
0.5000 0.2786 0.0000
0.5000 0.2413 0.5000
0.0000 0.7587 0.0000
0.5000 0.1187 0.2539
0.5000 0.1187 0.7461
0.0000 0.8813 0.2461
0.0000 0.8813 0.7539
0.2492 0.9841 0.5000
0.7508 0.9841 0.5000
0.2499 0.4724 0.5000
0.7501 0.4724 0.5000
0.7499 0.5276 0.0000
0.2501 0.5276 0.0000
0.2508 0.0159 0.0000
0.7492 0.0159 0.0000
```

Summary:
Calculated volume in A^3/atom: 19.6
E_tot in eV/cell: -128.97
ΔH_f (0 K) in eV/atom: -0.97
Fermi-level density of states in states/eV per atom: 0.4998
Total magnetization in μB/atom: 0.00

---

10.
The following is a DFT calculation (PBE) of AlP2PtW after structural relaxation.

Geometry as POSCAR:
```
AlP2PtW
1.0
4.5910 0.0000 0.0000
0.0000 5.1175 0.0000
0.0000 0.0000 4.5910
P W Pt Al
2 1 1 1
direct
0.0000 0.0000 0.5000
0.5000 0.0000 0.0000
0.0000 0.0000 0.0000
0.0000 0.5000 0.0000
0.5000 0.5000 0.5000
```

Summary:
Calculated volume in A^3/atom: 21.6
E_tot in eV/cell: -30.55
ΔH_f (0 K) in eV/atom: 0.60
Fermi-level density of states in states/eV per atom: 0.5458
Total magnetization in μB/atom: 0.00

---

11.
The following is a DFT calculation (PBE) of AlZnP2Pt after structural relaxation.

Geometry as POSCAR:
```
AlZnP2Pt
1.0
4.5132 0.0000 0.0000
0.0000 4.8057 0.0000
0.0000 0.0000 4.5132
P Zn Al Pt
2 1 1 1
direct
0.0000 0.0000 0.5000
0.5000 0.0000 0.0000
0.0000 0.0000 0.0000
0.5000 0.5000 0.5000
0.0000 0.5000 0.0000
```

Summary:
Calculated volume in A^3/atom: 19.6
E_tot in eV/cell: -17.65
ΔH_f (0 K) in eV/atom: 0.85
Fermi-level density of states in states/eV per atom: 1.1313
Total magnetization in μB/atom: 0.00

---

12.
The following is a DFT calculation (PBE) of Rb2Al2P3 after structural relaxation.

Geometry as POSCAR:
```
Rb2Al2P3
1.0
-2.6519 -2.2177 2.2356
-5.0557 -4.2187 -6.3911
3.9043 -9.6146 -1.1156
Rb Al P
4 4 6
direct
0.2720 0.1167 0.3393
0.7280 0.8833 0.6607
0.3641 0.2814 0.9904
0.6359 0.7186 0.0096
0.0180 0.2487 0.7153
0.9820 0.7513 0.2847
0.4231 0.5204 0.6334
0.5769 0.4796 0.3666
0.0518 0.0081 0.8883
0.9482 0.9919 0.1117
0.1307 0.4984 0.2402
0.8693 0.5016 0.7598
0.4208 0.7309 0.4275
0.5792 0.2691 0.5725
```

Summary:
Calculated volume in A^3/atom: 26.0
E_tot in eV/cell: -57.64
ΔH_f (0 K) in eV/atom: -0.45
Fermi-level density of states in states/eV per atom: 0.2030
Total magnetization in μB/atom: 0.00